Entry 1:
## CdFeOF2 (SCAN)

Data for a crystal of CdFeOF2 relaxed with PBEsol.

Summary:
The calculation puts the uncorrected formation energy at -1.65 eV/atom.

a b c (Å): 4.0306 4.0306 3.7568
angles (deg): 90.00 90.00 90.00
Space group P4/mmm (No. 123)
Inequivalent atoms, fractional coordinates:
Cd1 0.0000 0.0000 0.0000
Fe1 0.5000 0.5000 0.5000
O1 0.5000 0.5000 0.0000
F1 0.0000 0.5000 0.5000

Entry 2:
## Ca3Bi8Pd4 (SCAN)

Data for a crystal of Ca3Bi8Pd4 relaxed with PBEsol.

Summary:
As for the energy relative to the elements: -53.3 kJ/mol of atoms.

a b c (Å): 10.7372 16.9381 4.1600
angles (deg): 90.00 90.00 90.00
Space group Pbam (No. 55)
Inequivalent atoms, fractional coordinates:
Ca1 0.0000 0.0000 0.0000
Ca2 0.1425 0.3011 0.0000
Bi1 0.1091 0.1416 0.5000
Bi2 0.1099 0.7135 0.5000
Bi3 0.1321 0.5392 0.0000
Bi4 0.1948 0.9147 0.5000
Pd1 0.0459 0.4222 0.5000
Pd2 0.0688 0.8243 0.0000

Entry 3:
## BaCa4La (SCAN)

Data for a crystal of BaCa4La relaxed with PBEsol.

Summary:
As for the energy relative to the elements: 14.8 kJ/mol of atoms.

a b c (Å): 10.2127 10.2127 10.2127
angles (deg): 90.00 90.00 90.00
Space group F-43m (No. 216)
Inequivalent atoms, fractional coordinates:
Ba1 0.0000 0.0000 0.0000
Ca1 0.1240 0.1240 0.6240
La1 0.2500 0.2500 0.2500

Entry 4:
## Hg3MoIr (SCAN)

Data for a crystal of Hg3MoIr relaxed with PBEsol.

Summary:
As for the energy relative to the elements: 108.9 kJ/mol of atoms.

a b c (Å): 5.1036 5.1036 5.1036
angles (deg): 90.00 90.00 90.00
Space group Pm-3m (No. 221)
Inequivalent atoms, fractional coordinates:
Hg1 0.0000 0.0000 0.5000
Mo1 0.5000 0.5000 0.5000
Ir1 0.0000 0.0000 0.0000

For reference, VASP energy by record: -14.019; -53.134; -20.064; -60.968 eV/atom.